(1)
TmMn11B | the Alexandria database | PBE | optimized geometry; formation energy from the elements = -0.04 eV/atom; energy = -8.659 eV/atom; D(E_F) = 1.298 states/eV per atom
1.0
-1.082 -4.216 -1.092
5.154 -3.530 -0.327
-1.075 -3.397 4.958
Mn Tm B
11 1 1
Direct
0.288 0.231 0.216
0.016 0.636 0.355
0.629 0.364 0.355
0.000 0.000 0.500
0.712 0.769 0.784
0.496 0.769 0.216
0.984 0.364 0.645
0.000 0.500 0.000
0.500 0.000 0.500
0.371 0.636 0.645
0.504 0.231 0.784
0.000 0.000 0.000
0.500 0.500 0.000

***

(2)
Ca4AsAu3 | the Alexandria database | PBE | optimized geometry; formation energy from the elements = -0.87 eV/atom; energy = -3.685 eV/atom; D(E_F) = 0.414 states/eV per atom
1.0
0.582 -1.870 -4.767
-0.821 -4.770 1.771
-6.975 4.114 0.320
Ca As Au
4 1 3
Direct
0.124 0.124 0.248
0.376 0.376 0.752
0.876 0.876 0.752
0.624 0.624 0.248
0.500 0.000 0.000
0.244 0.744 0.488
0.756 0.256 0.512
0.000 0.500 0.000

***

(3)
Er4Ag2Hg | the Alexandria database | PBE | optimized geometry; formation energy from the elements = -0.22 eV/atom; offset from the most stable computed form = 0.000 eV/atom; energy = -3.687 eV/atom; D(E_F) = 0.745 states/eV per atom
1.0
-1.853 3.911 -2.685
-4.805 1.531 0.716
0.300 7.001 5.159
Er Ag Hg
4 2 1
Direct
0.620 0.620 0.140
0.872 0.872 0.384
0.380 0.380 0.860
0.128 0.128 0.616
0.251 0.251 0.248
0.749 0.749 0.752
0.000 0.000 0.000

***

(4)
Cu2Ag2Bi | the Alexandria database | PBE | optimized geometry; formation energy from the elements = 0.24 eV/atom; offset from the most stable computed form = 0.077 eV/atom; energy = -3.317 eV/atom; D(E_F) = 0.458 states/eV per atom
1.0
3.456 0.000 0.000
0.000 3.456 0.000
1.728 1.728 8.187
Ag Cu Bi
2 2 1
Direct
0.622 0.622 0.756
0.378 0.378 0.244
0.250 0.750 0.500
0.750 0.250 0.500
0.000 0.000 0.000

***

(5)
Cs2TlIn2 | the Alexandria database | PBE | optimized geometry; formation energy from the elements = 0.02 eV/atom; offset from the most stable computed form = 0.104 eV/atom; energy = -1.892 eV/atom; D(E_F) = 0.754 states/eV per atom
1.0
8.084 0.000 0.000
0.000 8.084 0.000
0.000 0.000 6.620
Tl In Cs
2 4 4
Direct
0.000 0.000 0.000
0.500 0.500 0.000
0.369 0.869 0.000
0.869 0.631 0.000
0.631 0.131 0.000
0.131 0.369 0.000
0.681 0.819 0.500
0.819 0.319 0.500
0.181 0.681 0.500
0.319 0.181 0.500

***

(6)
Pr2NdRh9 | the Alexandria database | PBE | optimized geometry; formation energy from the elements = -0.49 eV/atom; energy = -7.198 eV/atom; D(E_F) = 1.042 states/eV per atom
1.0
5.114 0.000 1.522
2.331 4.552 1.522
-0.018 -0.011 9.415
Nd Pr Rh
1 2 9
Direct
0.000 0.000 0.000
0.861 0.861 0.416
0.139 0.139 0.584
0.918 0.419 0.243
0.419 0.419 0.243
0.082 0.581 0.757
0.500 0.500 0.500
0.581 0.581 0.757
0.419 0.918 0.243
0.581 0.082 0.757
0.333 0.333 0.002
0.667 0.667 0.998

***

(7)
Zn2RhBr | the Alexandria database | PBE | optimized geometry; offset from the most stable computed form = 0.493 eV/atom; energy = -2.611 eV/atom; D(E_F) = 0.172 states/eV per atom; formation energy from raw total energies = 0.282 eV per atom
1.0
4.566 0.000 0.000
2.283 3.954 0.000
2.283 1.318 3.728
Rh Zn Br
1 2 1
Direct
0.250 0.250 0.250
0.750 0.750 0.750
0.000 0.000 0.000
0.500 0.500 0.500

***

(8)
Rb2TeSBr | the Alexandria database | PBE | optimized geometry; energy = -2.640 eV/atom; D(E_F) = 1.263 states/eV per atom; formation energy from raw total energies = -0.464 eV per atom
1.0
-0.782 -5.212 -3.997
4.549 0.705 -1.809
2.476 -3.962 4.682
Te Rb Br S
1 2 1 1
Direct
0.500 0.500 0.500
0.500 0.000 0.000
0.000 0.000 0.500
0.000 0.000 0.000
0.000 0.500 0.000

***

(9)
CaRe2Pb | the Alexandria database | PBE | optimized geometry; formation energy from the elements = 0.62 eV/atom; energy = -7.029 eV/atom; D(E_F) = 0.455 states/eV per atom
1.0
5.161 -0.633 -0.272
-0.606 5.165 -0.272
-2.505 -2.492 3.483
Re Pb Ca
2 1 1
Direct
0.960 0.040 0.000
0.295 0.705 0.500
0.731 0.269 0.500
0.514 0.486 0.000

***

(10)
Ca6Ac2Sm | the Alexandria database | PBE | optimized geometry; formation energy from the elements = 0.07 eV/atom; energy = -2.699 eV/atom; D(E_F) = 1.455 states/eV per atom
1.0
3.990 0.220 0.310
0.369 10.632 -1.439
0.369 -4.863 9.564
Ac Ca Sm
2 6 1
Direct
0.500 0.843 0.157
0.500 0.157 0.843
0.660 0.676 0.676
0.165 0.497 0.830
0.835 0.170 0.503
0.340 0.324 0.324
0.835 0.503 0.170
0.165 0.830 0.497
0.000 0.000 0.000

***

(11)
Ta5RuW4 | the Alexandria database | PBE | optimized geometry; formation energy from the elements = -0.19 eV/atom; energy = -12.220 eV/atom; D(E_F) = 0.499 states/eV per atom
1.0
3.225 0.000 0.000
0.000 3.225 0.000
0.000 0.000 16.192
W Ta Ru
4 5 1
Direct
0.000 0.000 0.399
0.000 0.000 0.601
0.000 0.000 0.198
0.000 0.000 0.802
0.500 0.500 0.500
0.500 0.500 0.702
0.500 0.500 0.099
0.500 0.500 0.298
0.500 0.500 0.901
0.000 0.000 0.000

***

(12)
Ac4PmIn4 | the Alexandria database | PBE | optimized geometry; formation energy from the elements = -0.25 eV/atom; energy = -3.820 eV/atom; D(E_F) = 0.920 states/eV per atom
1.0
6.504 0.000 0.000
0.000 9.785 0.000
0.000 0.000 9.785
In Ac Pm
8 8 2
Direct
0.383 0.190 0.093
0.883 0.407 0.690
0.117 0.310 0.407
0.617 0.907 0.190
0.383 0.810 0.907
0.617 0.093 0.810
0.883 0.593 0.310
0.117 0.690 0.593
0.625 0.175 0.425
0.625 0.825 0.575
0.375 0.575 0.175
0.875 0.325 0.075
0.125 0.075 0.675
0.125 0.925 0.325
0.875 0.675 0.925
0.375 0.425 0.825
0.000 0.000 0.000
0.500 0.500 0.500

***

(13)
LiSiB | the Alexandria database | PBE | optimized geometry; energy = -4.317 eV/atom; D(E_F) = 0.210 states/eV per atom; formation energy from raw total energies = 0.354 eV per atom
1.0
-2.688 1.830 1.346
-2.160 -1.417 -2.390
-1.060 -4.010 3.335
Li Si B
2 2 2
Direct
0.500 0.000 0.000
0.000 0.500 0.500
0.000 0.500 0.000
0.500 0.000 0.500
0.000 0.000 0.250
0.000 0.000 0.750

***

(14)
ZrFe2Cl | the Alexandria database | PBE | optimized geometry; offset from the most stable computed form = 0.310 eV/atom; energy = -6.681 eV/atom; D(E_F) = 0.672 states/eV per atom; formation energy from raw total energies = 0.149 eV per atom
1.0
4.833 0.000 0.000
0.000 2.988 -0.012
0.000 0.023 4.360
Fe Cl Zr
2 1 1
Direct
0.000 0.951 0.016
0.000 0.549 0.484
0.500 0.750 0.750
0.500 0.250 0.250

***

(15)
SnPb | the Alexandria database | PBE | optimized geometry; formation energy from the elements = 0.33 eV/atom; energy = -3.523 eV/atom; D(E_F) = 0.438 states/eV per atom
1.0
-9.289 -0.032 1.706
-1.201 -6.583 -6.664
1.211 -6.772 6.471
Sn Pb
8 8
Direct
0.157 0.157 0.157
0.657 0.657 0.657
0.657 0.343 0.343
0.843 0.843 0.157
0.343 0.343 0.657
0.343 0.657 0.343
0.157 0.843 0.843
0.843 0.157 0.843
0.839 0.839 0.839
0.161 0.839 0.161
0.839 0.161 0.161
0.339 0.661 0.661
0.661 0.661 0.339
0.339 0.339 0.339
0.661 0.339 0.661
0.161 0.161 0.839

***

(16)
Dy2Mn2Co15 | the Alexandria database | PBE | optimized geometry; formation energy from the elements = -0.10 eV/atom; energy = -7.156 eV/atom; D(E_F) = 1.049 states/eV per atom
1.0
-5.640 1.466 -2.391
-3.399 -1.366 5.124
-0.326 5.854 2.303
Co Mn Dy
15 2 2
Direct
0.000 0.288 0.712
0.350 0.846 0.350
0.650 0.650 0.154
0.846 0.350 0.350
0.288 0.000 0.712
0.000 0.000 0.500
0.288 0.712 0.000
0.000 0.712 0.288
0.350 0.350 0.846
0.712 0.000 0.288
0.712 0.288 0.000
0.500 0.000 0.000
0.154 0.650 0.650
0.650 0.154 0.650
0.000 0.500 0.000
0.105 0.105 0.105
0.895 0.895 0.895
0.652 0.652 0.652
0.348 0.348 0.348

***

(17)
Sm3HoMg2 | the Alexandria database | PBE | optimized geometry; formation energy from the elements = -0.05 eV/atom; energy = -3.703 eV/atom; D(E_F) = 1.147 states/eV per atom
1.0
-2.002 -2.942 -1.209
0.191 -1.537 3.424
-10.723 5.952 3.268
Sm Mg Ho
3 2 1
Direct
0.000 0.000 0.689
0.000 0.000 0.000
0.000 0.000 0.311
0.500 0.500 0.846
0.500 0.500 0.154
0.500 0.500 0.500